The following is a PBE calculation of a geometry-optimized GaNi3Ge2 structure, from the Alexandria database.

The structure in POSCAR format:
```
GaNi3Ge2
1.0
-1.7268 -1.0561 -1.8599
-3.6531 -1.7373 4.3783
0.0824 6.1618 -1.5441
Ga Ni Ge
1 3 2
Direct
0.5000 0.1875 0.0000
0.0000 0.8485 0.0000
0.3867 0.4313 0.7734
0.6133 0.6579 0.2266
0.7813 0.5902 0.5626
0.2187 0.0276 0.4374
```

Summary:
raw total energy = -5.048 eV per atom
E_form = -11.0 kJ/mol of atoms
mass density = 7.3 g/cm³

The following is a PBE calculation of a geometry-optimized HAu2S structure, from the Alexandria database.

The structure in POSCAR format:
```
HAu2S
1.0
4.9036 0.0000 0.0000
0.0000 4.9036 0.0000
2.4518 2.4518 5.4455
H S Au
2 2 4
Direct
0.5000 0.5000 0.0000
0.2500 0.7500 0.5000
0.0000 0.0000 0.0000
0.7500 0.2500 0.5000
0.5344 0.1250 0.2500
0.2156 0.6250 0.2500
0.3750 0.4656 0.7500
0.8750 0.7844 0.7500
```

Summary:
raw total energy = -3.201 eV per atom
polymorph energy (0 for the lowest one) = 0.000 eV per atom
mass density = 10.8 g/cm³